The following is a PBE calculation of a relaxed structure of SbAsCl, from the Alexandria database.

a = 4.9621 Å, b = 4.9621 Å, c = 3.1249 Å
α = 90.00°, β = 90.00°, γ = 120.00°
With the nearest neighbours (Å) after each atom.
Atoms (fractional coordinates):
Sb 0.3333 0.6667 0.8296  3 As 2.86-2.87, 2 Sb 3.12
Cl 0.6667 0.3333 0.3329  2 Cl 3.12, 6 As 3.26-3.27, 6 Sb 3.26-3.27
As 0.0000 0.0000 0.8375  3 Sb 2.86-2.87, 2 As 3.12


The following is a PBE calculation of a relaxed structure of Ba2SrCaSe, from the Alexandria database.

a = 6.5850 Å, b = 6.5850 Å, c = 5.7717 Å
α = 90.00°, β = 90.00°, γ = 90.00°
With the nearest neighbours (Å) after each atom.
Atoms (fractional coordinates):
Ca 0.0000 0.0000 0.5000  2 Se 2.89
Se 0.0000 0.0000 0.0000  2 Ca 2.89
Sr 0.5000 0.5000 0.5000  8 Ba 4.38, 4 Ca 4.66
Ba 0.5000 0.0000 0.0000  2 Se 3.29
Ba 0.0000 0.5000 0.0000  2 Se 3.29


no.,formation energy without anion corrections (meV/atom)
1,15
2,-682